(1)
{
  "formula": "TePbAu2",
  "functional": "meta-GGA SCAN",
  "state": "single point on PBEsol structure",
  "formation_energy_uncorrected_ev_per_atom": -0.0356,
  "cell": [[4.711, -0.025, 0.045], [-2.021, 5.031, 0.112], [-0.669, -2.284, 4.076]],
  "species": ["Au", "Au", "Te", "Pb"],
  "fractional_positions": [[0.000, 0.500, 0.000], [0.500, 0.500, 0.500], [0.500, 0.000, 0.000], [0.000, 0.000, 0.500]]
}



(2)
{
  "formula": "ScCuPb2",
  "functional": "meta-GGA SCAN",
  "state": "single point on PBEsol structure",
  "ef_kj_per_mol_atoms": 2.07,
  "cell": [[4.982, 0.000, 0.000], [2.491, 4.314, 0.000], [2.491, 1.438, 4.067]],
  "species": ["Pb", "Pb", "Cu", "Sc"],
  "fractional_positions": [[0.750, 0.750, 0.750], [0.250, 0.250, 0.250], [0.000, 0.000, 0.000], [0.500, 0.500, 0.500]]
}



(3)
{
  "formula": "Li2MgIn",
  "functional": "meta-GGA SCAN",
  "state": "single point on PBEsol structure",
  "ef_kj_per_mol_atoms": -22.69,
  "cell": [[-1.192, -2.646, -0.775], [3.638, -0.854, -2.678], [3.114, -1.298, 4.644]],
  "species": ["In", "Mg", "Li", "Li"],
  "fractional_positions": [[0.223, 0.500, 0.773], [0.520, 0.000, 0.487], [0.908, 0.000, 0.995], [0.848, 0.500, 0.245]]
}



(4)
{
  "formula": "Zn5Ag3",
  "functional": "meta-GGA SCAN",
  "state": "single point on PBEsol structure",
  "ef_kj_per_mol_atoms": -0.36,
  "cell": [[3.988, 0.000, 0.000], [0.000, 5.463, 0.095], [0.000, -0.624, 5.428]],
  "species": ["Zn", "Zn", "Zn", "Zn", "Zn", "Ag", "Ag", "Ag"],
  "fractional_positions": [[0.500, 0.748, 0.748], [0.500, 0.252, 0.252], [0.000, 0.500, 0.000], [0.000, 0.000, 0.500], [0.000, 0.000, 0.000], [0.500, 0.243, 0.757], [0.500, 0.757, 0.243], [0.000, 0.500, 0.500]]
}



| no. | N(E_F) (states/eV/f.u.) | spin magnetization (μB per cell) | DFT total energy (eV per cell) |
| --- | --- | --- | --- |
| 1 | 1.27 | 0.00 | -251.49 |
| 2 | 2.29 | 0.00 | -180.91 |
| 3 | 1.20 | 0.01 | -44.08 |
| 4 | 2.00 | 0.00 | -161.71 |